No. 1
## TaIn2As2 (PBE-GGA)

Data for crystalline TaIn2As2 at its relaxed geometry.

Lattice parameters (Å, degrees): 3.5113 3.5113 9.5822 79.44 79.44 90.00
Positions (direct):
Ta (0.0000, 0.0000, 0.0000)
As (0.2500, 0.7500, 0.5000)
As (0.7500, 0.2500, 0.5000)
In (0.4054, 0.4054, 0.1892)
In (0.5946, 0.5946, 0.8108)

Energy relative to the lowest polymorph listed for this composition, eV/atom: 0.3958
Calculated formation energy, eV/f.u.: 2.7

=====

No. 2
## CeO2 (PBE-GGA)

Data for crystalline CeO2 at its relaxed geometry.

Lattice parameters (Å, degrees): 3.8183 3.8183 5.9971 90.00 90.00 120.00
Positions (direct):
O (0.0000, 0.0000, 0.0000)
O (0.6667, 0.3333, 0.2500)
O (0.0000, 0.0000, 0.5000)
O (0.3333, 0.6667, 0.7500)
Ce (0.3333, 0.6667, 0.2500)
Ce (0.6667, 0.3333, 0.7500)

Formation energy from raw total energies, eV per atom: -3.032

=====

No. 3
## AgH2Rh (PBE-GGA)

Data for crystalline AgH2Rh at its relaxed geometry.

Lattice parameters (Å, degrees): 2.9201 2.9201 5.5781 74.83 74.83 60.00
Positions (direct):
H (0.0479, 0.0479, 0.8562)
H (0.2883, 0.2883, 0.1352)
Ag (0.4938, 0.4938, 0.5185)
Rh (0.6700, 0.6700, 0.9900)

Energy relative to the lowest polymorph listed for this composition, eV/atom: 0.0250

=====

No. 4
## Tb4Pm3Pr3 (PBE-GGA)

Data for crystalline Tb4Pm3Pr3 at its relaxed geometry.

Lattice parameters (Å, degrees): 3.7215 9.6583 9.6583 90.06 90.00 90.00
Positions (direct):
Tb (0.0000, 0.3752, 0.6248)
Tb (0.0000, 0.6237, 0.3763)
Tb (0.0000, 0.1250, 0.1221)
Tb (0.0000, 0.8779, 0.8750)
Pm (0.0000, 0.0005, 0.5017)
Pm (0.0000, 0.4983, 0.9995)
Pm (0.5000, 0.1748, 0.8252)
Pr (0.5000, 0.8258, 0.1742)
Pr (0.5000, 0.6742, 0.6754)
Pr (0.5000, 0.3246, 0.3258)

Calculated formation energy, eV/f.u.: 1.0

=====

No. 5
## Cs2Ag2SnBr7 (PBE-GGA)

Data for crystalline Cs2Ag2SnBr7 at its relaxed geometry.

Lattice parameters (Å, degrees): 5.4676 5.4676 14.4845 79.06 79.06 90.01
Positions (direct):
Br (0.9245, 0.4258, 0.1520)
Br (0.3067, 0.3067, 0.3861)
Br (0.4258, 0.9245, 0.1520)
Br (0.5742, 0.0755, 0.8480)
Br (0.5000, 0.5000, 0.0000)
Br (0.0755, 0.5742, 0.8480)
Br (0.6933, 0.6933, 0.6139)
Cs (0.8243, 0.8243, 0.3517)
Cs (0.1757, 0.1757, 0.6483)
Ag (0.5963, 0.5963, 0.8066)
Ag (0.4037, 0.4037, 0.1934)
Sn (0.0000, 0.0000, 0.0000)

Formation energy from raw total energies, eV per atom: -0.821

=====

No. 6
## RbIrSCl2 (PBE-GGA)

Data for crystalline RbIrSCl2 at its relaxed geometry.

Lattice parameters (Å, degrees): 6.1192 6.1192 6.1289 90.00 90.00 90.00
Site moments in Bohr magnetons follow the coordinates.
Positions (direct):
Cl (0.5000, 0.0000, 0.0000)  0.28
Cl (0.0000, 0.5000, 0.0000)  0.28
S (0.0000, 0.0000, 0.5000)  1.07
Ir (0.5000, 0.5000, 0.5000)  2.97
Rb (0.0000, 0.0000, 0.0000)  0.02

Formation energy from raw total energies, eV per atom: 1.358
Energy relative to the lowest polymorph listed for this composition, eV/atom: 1.9894

=====

No. 7
## TePb2AuS4 (PBE-GGA)

Data for crystalline TePb2AuS4 at its relaxed geometry.

Lattice parameters (Å, degrees): 7.7815 7.7815 8.7617 116.27 116.27 90.08
Positions (direct):
S (0.2506, 0.7698, 0.0638)
S (0.7298, 0.6887, 0.4387)
S (0.7494, 0.2302, 0.9362)
S (0.8113, 0.7702, 0.0613)
S (0.7302, 0.2494, 0.4362)
S (0.2702, 0.3113, 0.5613)
S (0.2698, 0.7506, 0.5638)
S (0.1887, 0.2298, 0.9387)
Pb (0.0000, 0.0000, 0.5000)
Pb (0.5000, 0.5000, 0.0000)
Pb (0.5000, 0.0000, 0.0000)
Pb (0.5000, 0.0000, 0.5000)
Au (0.0000, 0.5000, 0.0000)
Au (0.0000, 0.5000, 0.5000)
Te (0.5000, 0.5000, 0.5000)
Te (0.0000, 0.0000, 0.0000)

Formation energy from raw total energies, eV per atom: -0.119

=====

No. 8
## HoThFeCo (PBE-GGA)

Data for crystalline HoThFeCo at its relaxed geometry.

Lattice parameters (Å, degrees): 4.8021 4.8021 4.8021 60.00 60.00 60.00
Site moments in Bohr magnetons follow the coordinates.
Positions (direct):
Co (0.5000, 0.5000, 0.5000)  0.60
Th (0.2500, 0.2500, 0.2500)  -0.21
Fe (0.0000, 0.0000, 0.0000)  0.86
Ho (0.7500, 0.7500, 0.7500)  -0.23

Calculated formation energy, eV/f.u.: -0.1

=====

No. 9
## TcMoIr3 (PBE-GGA)

Data for crystalline TcMoIr3 at its relaxed geometry.

Lattice parameters (Å, degrees): 3.9034 4.7713 8.6620 89.84 90.00 65.88
Positions (direct):
Ir (0.6474, 0.7055, 0.0546)
Ir (0.3526, 0.2945, 0.9454)
Ir (0.1488, 0.7027, 0.5525)
Ir (0.7521, 0.4956, 0.7508)
Ir (0.2479, 0.5044, 0.2492)
Ir (0.8512, 0.2973, 0.4475)
Tc (0.0519, 0.8954, 0.8530)
Tc (0.9481, 0.1046, 0.1470)
Mo (0.5515, 0.8967, 0.3481)
Mo (0.4485, 0.1033, 0.6519)

Energy relative to the lowest polymorph listed for this composition, eV/atom: 0.0000
Calculated formation energy, eV/f.u.: -1.0

=====

No. 10
## Tl2TeSe (PBE-GGA)

Data for crystalline Tl2TeSe at its relaxed geometry.

Lattice parameters (Å, degrees): 5.4705 5.4705 5.4705 60.00 60.00 60.00
Positions (direct):
Tl (0.2500, 0.2500, 0.2500)
Tl (0.7500, 0.7500, 0.7500)
Se (0.0000, 0.0000, 0.0000)
Te (0.5000, 0.5000, 0.5000)

Formation energy from raw total energies, eV per atom: -0.068
Energy relative to the lowest polymorph listed for this composition, eV/atom: 0.1487

=====

No. 11
## Dy4YAg5 (PBE-GGA)

Data for crystalline Dy4YAg5 at its relaxed geometry.

Lattice parameters (Å, degrees): 3.6079 3.6079 18.4700 90.00 90.00 90.00
Positions (direct):
Dy (0.0000, 0.0000, 0.4001)
Dy (0.0000, 0.0000, 0.7997)
Dy (0.0000, 0.0000, 0.5999)
Dy (0.0000, 0.0000, 0.2003)
Ag (0.5000, 0.5000, 0.8992)
Ag (0.5000, 0.5000, 0.5000)
Ag (0.5000, 0.5000, 0.3001)
Ag (0.5000, 0.5000, 0.6999)
Ag (0.5000, 0.5000, 0.1008)
Y (0.0000, 0.0000, 0.0000)

Calculated formation energy, eV/f.u.: -3.3

=====

No. 12
## Al2CrIn2 (PBE-GGA)

Data for crystalline Al2CrIn2 at its relaxed geometry.

Lattice parameters (Å, degrees): 6.8248 6.8248 6.8248 142.81 142.81 53.61
Site moments in Bohr magnetons follow the coordinates.
Positions (direct):
Al (0.6012, 0.6012, 0.0000)  0.00
Al (0.3988, 0.3988, 0.0000)  0.00
Cr (0.0000, 0.0000, 0.0000)  4.07
In (0.2500, 0.7500, 0.5000)  0.01
In (0.7500, 0.2500, 0.5000)  0.01

Energy relative to the lowest polymorph listed for this composition, eV/atom: 0.0638
Calculated formation energy, eV/f.u.: 2.7

=====

| no. | final energy (eV per atom) | mass density (g/cm³) |
| --- | --- | --- |
| 1 | -4.79 | 8.156 |
| 2 | -8.32 | 7.549 |
| 3 | -4.19 | 8.999 |
| 4 | -4.61 | 7.143 |
| 5 | -2.75 | 4.616 |
| 6 | -2.17 | 2.754 |
| 7 | -3.91 | 6.964 |
| 8 | -6.92 | 10.853 |
| 9 | -9.75 | 17.382 |
| 10 | -2.91 | 8.826 |
| 11 | -4.24 | 8.829 |
| 12 | -3.98 | 4.829 |